(one)
The following is a PBE calculation of AlPNCl2 after structural relaxation, from Alexandria.

Size of the total moment   1.0 μB/f.u.

The structure in CIF format:
```
data_AlPNCl2
_space_group_name_H-M_alt 'P 4/m m m'
_space_group_IT_number 123
_space_group_name_Hall '-P 4 2'
_cell_length_a 4.657
_cell_length_b 4.657
_cell_length_c 5.000
_cell_angle_alpha 90.00
_cell_angle_beta 90.00
_cell_angle_gamma 90.00
loop_
_atom_site_label
_atom_site_fract_x
_atom_site_fract_y
_atom_site_fract_z
Al1 0.000 0.000 0.000
P1 0.000 0.000 0.500
N1 0.500 0.500 0.500
Cl1 0.000 0.500 0.000
```

***

(two)
The following is a PBE calculation of AlPNCl2 after structural relaxation, from Alexandria.

Size of the total moment   0.6 μB/f.u.

The structure in CIF format:
```
data_AlPNCl2
_space_group_name_H-M_alt 'P 4/m m m'
_space_group_IT_number 123
_space_group_name_Hall '-P 4 2'
_cell_length_a 6.132
_cell_length_b 6.132
_cell_length_c 3.195
_cell_angle_alpha 90.00
_cell_angle_beta 90.00
_cell_angle_gamma 90.00
loop_
_atom_site_label
_atom_site_fract_x
_atom_site_fract_y
_atom_site_fract_z
Al1 0.000 0.000 0.000
P1 0.500 0.500 0.000
N1 0.500 0.500 0.500
Cl1 0.000 0.500 0.500
```

***

Energies relative to the most stable structure, in meV/atom: (one) 128; (two) 0.

***

(one)
The following is a PBE calculation of AlP2NCl after structural relaxation, from Alexandria.

Size of the total moment   0.0 μB/f.u.

The structure in CIF format:
```
data_AlP2NCl
_space_group_name_H-M_alt 'P 4/m m m'
_space_group_IT_number 123
_space_group_name_Hall '-P 4 2'
_cell_length_a 4.699
_cell_length_b 4.699
_cell_length_c 4.380
_cell_angle_alpha 90.00
_cell_angle_beta 90.00
_cell_angle_gamma 90.00
loop_
_atom_site_label
_atom_site_fract_x
_atom_site_fract_y
_atom_site_fract_z
Al1 0.000 0.000 0.000
P1 0.000 0.500 0.000
N1 0.500 0.500 0.500
Cl1 0.000 0.000 0.500
```

***

(two)
The following is a PBE calculation of AlP2NCl after structural relaxation, from Alexandria.

Size of the total moment   0.0 μB/f.u.

The structure in CIF format:
```
data_AlP2NCl
_space_group_name_H-M_alt 'P 4/m m m'
_space_group_IT_number 123
_space_group_name_Hall '-P 4 2'
_cell_length_a 4.061
_cell_length_b 4.061
_cell_length_c 4.451
_cell_angle_alpha 90.00
_cell_angle_beta 90.00
_cell_angle_gamma 90.00
loop_
_atom_site_label
_atom_site_fract_x
_atom_site_fract_y
_atom_site_fract_z
Al1 0.000 0.000 0.000
P1 0.000 0.500 0.500
N1 0.500 0.500 0.500
Cl1 0.500 0.500 0.000
```

***

Energies relative to the most stable structure, in meV/atom: (one) 584; (two) 0.

***

(one)
The following is a PBE calculation of AlS2NCl after structural relaxation, from Alexandria.

Size of the total moment   0.1 μB/f.u.

The structure in CIF format:
```
data_AlS2NCl
_space_group_name_H-M_alt 'P 4/m m m'
_space_group_IT_number 123
_space_group_name_Hall '-P 4 2'
_cell_length_a 4.820
_cell_length_b 4.820
_cell_length_c 3.633
_cell_angle_alpha 90.00
_cell_angle_beta 90.00
_cell_angle_gamma 90.00
loop_
_atom_site_label
_atom_site_fract_x
_atom_site_fract_y
_atom_site_fract_z
Al1 0.000 0.000 0.000
S1 0.000 0.500 0.000
N1 0.000 0.000 0.500
Cl1 0.500 0.500 0.500
```

***

(two)
The following is a PBE calculation of AlS2NCl after structural relaxation, from Alexandria.

Size of the total moment   1.3 μB/f.u.

The structure in CIF format:
```
data_AlS2NCl
_space_group_name_H-M_alt 'P 4/m m m'
_space_group_IT_number 123
_space_group_name_Hall '-P 4 2'
_cell_length_a 4.803
_cell_length_b 4.803
_cell_length_c 3.696
_cell_angle_alpha 90.00
_cell_angle_beta 90.00
_cell_angle_gamma 90.00
loop_
_atom_site_label
_atom_site_fract_x
_atom_site_fract_y
_atom_site_fract_z
Al1 0.000 0.000 0.000
S1 0.000 0.500 0.500
N1 0.500 0.500 0.000
Cl1 0.500 0.500 0.500
```

***

Energies relative to the most stable structure, in meV/atom: (one) 0; (two) 790.

***

(one)
The following is a PBE calculation of AlS2NCl after structural relaxation, from Alexandria.

Size of the total moment   0.0 μB/f.u.

The structure in CIF format:
```
data_AlS2NCl
_space_group_name_H-M_alt 'P 4/m m m'
_space_group_IT_number 123
_space_group_name_Hall '-P 4 2'
_cell_length_a 4.079
_cell_length_b 4.079
_cell_length_c 4.541
_cell_angle_alpha 90.00
_cell_angle_beta 90.00
_cell_angle_gamma 90.00
loop_
_atom_site_label
_atom_site_fract_x
_atom_site_fract_y
_atom_site_fract_z
Al1 0.000 0.000 0.000
S1 0.000 0.500 0.500
N1 0.500 0.500 0.500
Cl1 0.500 0.500 0.000
```

***

(two)
The following is a PBE calculation of AlS2NCl after structural relaxation, from Alexandria.

Size of the total moment   1.5 μB/f.u.

The structure in CIF format:
```
data_AlS2NCl
_space_group_name_H-M_alt 'P 4/m m m'
_space_group_IT_number 123
_space_group_name_Hall '-P 4 2'
_cell_length_a 4.648
_cell_length_b 4.648
_cell_length_c 4.786
_cell_angle_alpha 90.00
_cell_angle_beta 90.00
_cell_angle_gamma 90.00
loop_
_atom_site_label
_atom_site_fract_x
_atom_site_fract_y
_atom_site_fract_z
Al1 0.000 0.000 0.000
S1 0.000 0.500 0.000
N1 0.500 0.500 0.500
Cl1 0.000 0.000 0.500
```

***

Energies relative to the most stable structure, in meV/atom: (one) 0; (two) 25.